Density functional theory data (PBE) for a relaxed TaGeN2F crystal.

Calculated values
relative energy among the computed polymorphs: 89.2 kJ per mole of atoms
energy relative to the elements, uncorrected: 2.0 eV per formula unit
total magnetic moment: 1.7 μB per formula unit

```
data_TaGeN2F
_space_group_name_H-M_alt 'P 4/m m m'
_space_group_IT_number 123
_space_group_name_Hall '-P 4 2'
_cell_length_a 3.917
_cell_length_b 3.917
_cell_length_c 3.611
_cell_angle_alpha 90.00
_cell_angle_beta 90.00
_cell_angle_gamma 90.00
loop_
_atom_site_label
_atom_site_fract_x
_atom_site_fract_y
_atom_site_fract_z
_atom_site_occupancy
Ta1 0.000 0.000 0.000 1
Ge1 0.500 0.500 0.500 1
N1 0.000 0.500 0.500 1
F1 0.500 0.500 0.000 1
```

Density functional theory data (PBE) for a relaxed TaGeN2F crystal.

Calculated values
relative energy among the computed polymorphs: 0.0 kJ per mole of atoms
energy relative to the elements, uncorrected: -2.6 eV per formula unit
total magnetic moment: 0.0 μB per formula unit

```
data_TaGeN2F
_space_group_name_H-M_alt 'P 4/m m m'
_space_group_IT_number 123
_space_group_name_Hall '-P 4 2'
_cell_length_a 4.110
_cell_length_b 4.110
_cell_length_c 4.007
_cell_angle_alpha 90.00
_cell_angle_beta 90.00
_cell_angle_gamma 90.00
loop_
_atom_site_label
_atom_site_fract_x
_atom_site_fract_y
_atom_site_fract_z
_atom_site_occupancy
Ta1 0.000 0.000 0.000 1
Ge1 0.500 0.500 0.500 1
N1 0.000 0.500 0.000 1
F1 0.000 0.000 0.500 1
```

Density functional theory data (PBE) for a relaxed GeTeN2F crystal.

Calculated values
relative energy among the computed polymorphs: 43.0 kJ per mole of atoms
energy relative to the elements, uncorrected: 4.3 eV per formula unit
total magnetic moment: 0.0 μB per formula unit

```
data_GeTeN2F
_space_group_name_H-M_alt 'P 4/m m m'
_space_group_IT_number 123
_space_group_name_Hall '-P 4 2'
_cell_length_a 3.661
_cell_length_b 3.661
_cell_length_c 6.101
_cell_angle_alpha 90.00
_cell_angle_beta 90.00
_cell_angle_gamma 90.00
loop_
_atom_site_label
_atom_site_fract_x
_atom_site_fract_y
_atom_site_fract_z
_atom_site_occupancy
Ge1 0.000 0.000 0.000 1
Te1 0.000 0.000 0.500 1
N1 0.000 0.500 0.000 1
F1 0.500 0.500 0.500 1
```